DFT (meta-GGA SCAN) results for a crystal of MgCdHg2 relaxed with PBEsol.

```
MgCdHg2
1.0
3.4431 0.0000 0.0000
0.0000 4.6375 0.0000
-0.9484 0.0000 5.3904
Mg Cd Hg
1 1 2
Direct
0.0000 0.0000 0.0000
0.8377 0.5000 0.3799
0.3571 0.0000 0.5182
0.4766 0.5000 0.8692
```

## Properties
* E_form: -0.160 eV per atom
* space-group type: Pm

***

DFT (meta-GGA SCAN) results for a crystal of Cu2BH5O6 relaxed with PBEsol.

```
Cu2BH5O6
1.0
9.2557 0.0000 0.0000
0.0000 5.8206 0.0000
0.0000 0.0000 8.4653
Cu B H O
8 4 20 24
Direct
0.2473 0.0016 0.0794
0.2473 0.4984 0.0794
0.2527 0.5016 0.5794
0.2527 0.9984 0.5794
0.7473 0.0016 0.4206
0.7473 0.4984 0.4206
0.7527 0.5016 0.9206
0.7527 0.9984 0.9206
0.0099 0.7500 0.3319
0.4901 0.2500 0.8319
0.5099 0.7500 0.1681
0.9901 0.2500 0.6681
0.0113 0.0822 0.3302
0.0113 0.4178 0.3302
0.0386 0.7500 0.9927
0.1512 0.7500 0.7958
0.1534 0.2500 0.8756
0.3466 0.7500 0.3756
0.3488 0.2500 0.2958
0.4614 0.2500 0.4927
0.4887 0.5822 0.8302
0.4887 0.9178 0.8302
0.5113 0.0822 0.1698
0.5113 0.4178 0.1698
0.5386 0.7500 0.5073
0.6512 0.7500 0.7042
0.6534 0.2500 0.6244
0.8466 0.7500 0.1244
0.8488 0.2500 0.2042
0.9614 0.2500 0.0073
0.9887 0.5822 0.6698
0.9887 0.9178 0.6698
0.0853 0.5458 0.3286
0.0853 0.9542 0.3286
0.1337 0.2500 0.9918
0.1343 0.7500 0.6739
0.1387 0.2500 0.6679
0.1476 0.7500 0.9745
0.3524 0.2500 0.4745
0.3613 0.7500 0.1679
0.3657 0.2500 0.1739
0.3663 0.7500 0.4918
0.4147 0.0458 0.8286
0.4147 0.4542 0.8286
0.5853 0.5458 0.1714
0.5853 0.9542 0.1714
0.6337 0.2500 0.5082
0.6343 0.7500 0.8261
0.6387 0.2500 0.8321
0.6476 0.7500 0.5255
0.8524 0.2500 0.0255
0.8613 0.7500 0.3321
0.8657 0.2500 0.3261
0.8663 0.7500 0.0082
0.9147 0.0458 0.6714
0.9147 0.4542 0.6714
```

## Properties
* space-group type: Pnma
* total DFT energy (no corrections): -7.868 eV/atom

***

DFT (meta-GGA SCAN) results for a crystal of YCu2Ni relaxed with PBEsol.

```
YCu2Ni
1.0
-1.8938 1.8938 4.0806
1.8938 -1.8938 4.0806
1.8938 1.8938 -4.0806
Y Cu Ni
1 2 1
Direct
0.0000 0.0000 0.0000
0.2500 0.7500 0.5000
0.7500 0.2500 0.5000
0.5000 0.5000 0.0000
```

## Properties
* E_form: -0.117 eV per atom
* space-group type: I4/mmm
* ΔE to the lowest computed polymorph: 116.8 meV/atom

***

DFT (meta-GGA SCAN) results for a crystal of Ir2PbAu relaxed with PBEsol.

```
Ir2PbAu
1.0
3.0727 0.0000 0.0000
0.0000 3.0727 0.0000
0.0000 0.0000 7.1528
Ir Pb Au
2 1 1
Direct
0.0000 0.0000 0.2399
0.0000 0.0000 0.7601
0.5000 0.5000 0.5000
0.5000 0.5000 0.0000
```

## Properties
* E_form: 0.721 eV per atom
* space-group type: P4/mmm